[1]
Compound: TbTi2Pt9
Source: Alexandria
Functional: PBE-GGA
Structure: optimized geometry

Unit cell a=4.011 b=4.011 c=12.033 alpha=90.00 beta=90.00 gamma=90.00
Fractional coordinates of all 12 atoms:
Tb  0.000  0.000  0.000
Ti  0.000  0.000  0.336
Ti  0.000  0.000  0.664
Pt  0.000  0.500  0.181
Pt  0.000  0.500  0.500
Pt  0.000  0.500  0.819
Pt  0.500  0.000  0.181
Pt  0.500  0.000  0.500
Pt  0.500  0.000  0.819
Pt  0.500  0.500  0.000
Pt  0.500  0.500  0.340
Pt  0.500  0.500  0.660

- ΔH_f (0 K) (eV/atom) = -0.929
- N(E_F) (states/eV/cell) = 3.71
- symmetry = P4/mmm, No. 123

[2]
Compound: YCoCu2
Source: Alexandria
Functional: PBE-GGA
Structure: optimized geometry

Unit cell a=3.792 b=3.792 c=8.466 alpha=90.00 beta=90.00 gamma=90.00
Fractional coordinates of all 8 atoms:
Y  0.000  0.000  0.000
Y  0.500  0.500  0.500
Co  0.000  0.000  0.500
Co  0.500  0.500  0.000
Cu  0.000  0.500  0.250
Cu  0.000  0.500  0.750
Cu  0.500  0.000  0.250
Cu  0.500  0.000  0.750

- ΔH_f (0 K) (eV/atom) = 0.004
- N(E_F) (states/eV/cell) = 6.03
- symmetry = I4/mmm, No. 139
- energy relative to the lowest polymorph listed for this composition (eV/atom) = 0.0676

[3]
Compound: CeMnFe
Source: Alexandria
Functional: PBE-GGA
Structure: optimized geometry

Unit cell a=6.114 b=5.205 c=4.938 alpha=74.08 beta=54.96 gamma=50.96
Fractional coordinates of all 6 atoms:
Ce  0.160  0.160  0.840
Ce  0.840  0.840  0.160
Mn  0.323  0.677  0.323
Mn  0.677  0.323  0.677
Fe  0.250  0.250  0.250
Fe  0.750  0.750  0.750

- ΔH_f (0 K) (eV/atom) = 0.177
- N(E_F) (states/eV/cell) = 8.84
- symmetry = Fmmm, No. 69